Crystalline Er6Te3Se2S at its relaxed geometry, computed with PBE-GGA.

The structure belongs to space group C2/m (No. 12); the cell edges are 7.141, 12.400 and 7.278 Å and the angles 90.00°, 109.06° and 90.00°. The distinct sites, in fractional coordinates, are Er at (0.225, 0.157, 0.208), Er at (0.241, 0.000, 0.786), Te at (0.000, 0.172, 0.500), Te at (0.000, 0.500, 0.500), Se at (0.000, 0.334, 0.000) and S at (0.000, 0.000, 0.000).

Its uncorrected formation energy is -18.3 eV/f.u. As for the spin magnetization: 0.00 Bohr magnetons per cell. The calculation puts the calculated volume at 25.38 Å³ per atom.

***

Crystalline HfC at its relaxed geometry, computed with PBE-GGA.

The structure belongs to space group P6_3/m (No. 176); the cell edges are 8.3562, 8.3562 and 3.7994 Å and the angles 90.00°, 90.00° and 120.00°. The distinct sites, in fractional coordinates, are Hf at (0.0748, 0.6710, 0.2500) and C at (0.0717, 0.4082, 0.2500).

The energy above the lowest structure with this stoichiometry is 0.713 eV per atom. For the energy relative to the elements, the calculation gives -0.2302 eV per atom. As for the spin magnetization: 0.00 Bohr magnetons per cell. The calculation puts the calculated volume at 19.15 Å³ per atom.